Record 1
VASP calculation (PBE-GGA) on crystalline Er5Al3Ni3Ge4 at its relaxed geometry.

DOS at the Fermi energy in states/eV/f.u.: 4.918
Formation energy in eV/atom: -0.789

Cell lengths 4.183, 19.139, 6.868 Å; angles 90.00, 90.00, 90.00 degrees
Space group Pmmn (No. 59, origin choice 2)
Unique sites:
Er  0.250  0.071  0.000 (multiplicity 4)
Er  0.250  0.119  0.495 (multiplicity 4)
Er  0.250  0.250  0.112 (multiplicity 2)
Al  0.250  0.678  0.184 (multiplicity 4)
Al  0.250  0.750  0.528 (multiplicity 2)
Ni  0.250  0.250  0.705 (multiplicity 2)
Ni  0.250  0.526  0.667 (multiplicity 4)
Ge  0.250  0.539  0.298 (multiplicity 4)
Ge  0.250  0.646  0.791 (multiplicity 4)

=====

Record 2
VASP calculation (PBE-GGA) on crystalline Er2AlNi5Ge2 at its relaxed geometry.

DOS at the Fermi energy in states/eV/f.u.: 7.722
Formation energy in eV/atom: -0.443

Cell lengths 9.698, 9.698, 3.245 Å; angles 90.00, 90.00, 90.00 degrees
Space group P4/mbm (No. 127)
Unique sites:
Er  0.176  0.324  0.000 (multiplicity 4)
Al  0.000  0.000  0.000 (multiplicity 2)
Ni  0.000  0.500  0.500 (multiplicity 2)
Ni  0.050  0.802  0.500 (multiplicity 8)
Ge  0.125  0.625  0.000 (multiplicity 4)